No. 1
The following is a DFT calculation (PBE) of a relaxed structure of CdInTe2.

Lattice parameters (Å, degrees): 4.0529 4.1085 14.4345 90.00 90.00 90.00
Sites, in units of the cell vectors:
Cd  0.0000  0.0000  0.0000
Cd  0.5000  0.5000  0.5000
In  0.0000  0.5000  0.7564
In  0.5000  0.0000  0.2564
Te  0.0000  0.0000  0.4249
Te  0.0000  0.5000  0.1693
Te  0.5000  0.0000  0.6693
Te  0.5000  0.5000  0.9249

Computed properties:
As for the space-group type: Imm2. For the uncorrected formation energy, the calculation gives -0.16 eV/atom.



No. 2
The following is a DFT calculation (PBE) of a relaxed structure of NaPdN2F.

Lattice parameters (Å, degrees): 3.7648 3.7648 5.8869 90.00 90.00 90.00
Sites, in units of the cell vectors:
Na  0.0000  0.0000  0.0000
Pd  0.5000  0.5000  0.5000
N  0.0000  0.5000  0.5000
N  0.5000  0.0000  0.5000
F  0.5000  0.5000  0.0000

Computed properties:
For the distance to the lowest polymorph of the same formula, the calculation gives 0 meV/atom. As for the space-group type: P4/mmm. For the uncorrected formation energy, the calculation gives 0.39 eV/atom.



The calculation returns the following calculated total energy values, one per record and in order: -2.642, -4.613 eV per atom.